This record from Alexandria via LeMat-Bulk describes an optimized crystal structure of Y3Tl4Ag2. The functional is PBE-GGA.

a = 4.957 Å, b = 6.111 Å, c = 9.328 Å
α = 115.37°, β = 90.00°, γ = 113.93°
Element x y z (fractional)
Y: 0.667 0.334 0.658
Y: 0.000 0.000 0.000
Y: 0.333 0.666 0.342
Tl: 0.741 0.481 0.085
Tl: 0.259 0.519 0.915
Tl: 0.942 0.883 0.616
Tl: 0.058 0.117 0.384
Ag: 0.602 0.205 0.273
Ag: 0.398 0.795 0.727

Values from the calculation:
* E_tot: -4.1034 eV per atom
* total moment: 0.0 Bohr magnetons per cell
* space group: C2/m


This record from Alexandria via LeMat-Bulk describes an optimized crystal structure of Ac6Ir2RuRh. The functional is PBE-GGA.

a = 7.494 Å, b = 7.495 Å, c = 8.038 Å
α = 62.24°, β = 62.24°, γ = 60.04°
Element x y z (fractional)
Ac: 0.582 0.248 0.250
Ac: 0.248 0.920 0.250
Ac: 0.919 0.582 0.250
Ac: 0.414 0.746 0.754
Ac: 0.746 0.087 0.754
Ac: 0.087 0.414 0.754
Ir: 0.499 0.499 0.503
Ir: 0.998 0.998 0.006
Ru: 0.336 0.335 0.994
Rh: 0.833 0.834 0.500

Values from the calculation:
* E_tot: -6.3839 eV per atom
* total moment: 0.0 Bohr magnetons per cell
* space group: R3


This record from Alexandria via LeMat-Bulk describes an optimized crystal structure of KNp2Ni2S6. The functional is PBE-GGA.

a = 6.992 Å, b = 7.188 Å, c = 7.550 Å
α = 121.63°, β = 90.98°, γ = 60.64°
Last column: magnetic moment on the atom in μB.
Element x y z (fractional)
K: 0.500 0.000 0.500  0.00
Np: 0.830 0.339 0.826  2.89
Np: 0.170 0.661 0.174  2.89
Ni: 0.178 0.774 0.830  -0.82
Ni: 0.822 0.226 0.170  -0.82
S: 0.404 0.785 0.035  -0.16
S: 0.966 0.436 0.176  -0.16
S: 0.193 0.828 0.576  -0.15
S: 0.034 0.564 0.824  -0.16
S: 0.807 0.172 0.424  -0.15
S: 0.596 0.215 0.965  -0.16

Values from the calculation:
* E_tot: -6.6661 eV per atom
* total moment: 3.0 Bohr magnetons per cell
* space group: P-1


This record from Alexandria via LeMat-Bulk describes an optimized crystal structure of Sr4MnCu. The functional is PBE-GGA.

a = 7.164 Å, b = 7.164 Å, c = 7.164 Å
α = 60.00°, β = 60.00°, γ = 60.00°
Last column: magnetic moment on the atom in μB.
Element x y z (fractional)
Sr: 0.876 0.375 0.375  -0.04
Sr: 0.375 0.375 0.876  -0.04
Sr: 0.375 0.876 0.375  -0.04
Sr: 0.375 0.375 0.375  -0.04
Mn: 0.000 0.000 0.000  4.37
Cu: 0.750 0.750 0.750  -0.01

Values from the calculation:
* E_tot: -2.3775 eV per atom
* total moment: 4.3 Bohr magnetons per cell
* space group: F-43m


This record from Alexandria via LeMat-Bulk describes an optimized crystal structure of Sr3PaP4. The functional is PBE-GGA.

a = 7.403 Å, b = 7.433 Å, c = 8.587 Å
α = 90.00°, β = 90.00°, γ = 109.91°
Element x y z (fractional)
Sr: 0.750 0.000 0.376
Sr: 0.250 0.000 0.624
Sr: 0.750 0.500 0.622
Sr: 0.750 0.500 0.123
Sr: 0.250 0.500 0.378
Sr: 0.250 0.500 0.877
Pa: 0.750 0.000 0.875
Pa: 0.250 0.000 0.125
P: 0.975 0.233 0.649
P: 0.502 0.212 0.894
P: 0.475 0.233 0.351
P: 0.002 0.212 0.106
P: 0.998 0.788 0.894
P: 0.525 0.767 0.649
P: 0.498 0.788 0.106
P: 0.025 0.767 0.351

Values from the calculation:
* E_tot: -5.6053 eV per atom
* total moment: 0.0 Bohr magnetons per cell
* space group: P2/c


This record from Alexandria via LeMat-Bulk describes an optimized crystal structure of K2GeIr. The functional is PBE-GGA.

a = 12.562 Å, b = 12.562 Å, c = 9.183 Å
α = 46.85°, β = 46.85°, γ = 90.00°
Element x y z (fractional)
Ge: 0.500 0.500 0.000
Ge: 0.250 0.750 0.500
Ir: 0.000 0.000 0.000
Ir: 0.750 0.250 0.500
K: 0.852 0.125 0.250
K: 0.898 0.625 0.250
K: 0.375 0.148 0.750
K: 0.875 0.102 0.750

Values from the calculation:
* E_tot: -3.7550 eV per atom
* total moment: 0.0 Bohr magnetons per cell
* space group: I-42d


This record from Alexandria via LeMat-Bulk describes an optimized crystal structure of AsPbF2. The functional is PBE-GGA.

a = 8.640 Å, b = 8.640 Å, c = 8.640 Å
α = 151.70°, β = 151.70°, γ = 40.45°
Element x y z (fractional)
As: 0.250 0.750 0.500
As: 0.500 0.500 0.000
Pb: 0.750 0.250 0.500
Pb: 0.000 0.000 0.000
F: 0.591 0.125 0.966
F: 0.159 0.625 0.034
F: 0.875 0.841 0.466
F: 0.375 0.409 0.534

Values from the calculation:
* energy relative to the lowest polymorph listed for this composition: 100 meV/atom
* total moment: 0.0 Bohr magnetons per cell
* space group: I-42d


This record from Alexandria via LeMat-Bulk describes an optimized crystal structure of CaLa2Er. The functional is PBE-GGA.

a = 3.690 Å, b = 3.690 Å, c = 12.474 Å
α = 81.49°, β = 81.49°, γ = 60.00°
Element x y z (fractional)
Ca: 0.500 0.500 0.500
La: 0.745 0.745 0.766
La: 0.255 0.255 0.234
Er: 0.000 0.000 0.000

Values from the calculation:
* energy relative to the lowest polymorph listed for this composition: 0 meV/atom
* total moment: 0.0 Bohr magnetons per cell
* space group: R-3m


This record from Alexandria via LeMat-Bulk describes an optimized crystal structure of TbCd2Pb3. The functional is PBE-GGA.

a = 3.986 Å, b = 5.191 Å, c = 8.399 Å
α = 108.00°, β = 90.00°, γ = 90.00°
Element x y z (fractional)
Tb: 0.000 0.000 0.000
Cd: 0.000 0.657 0.314
Cd: 0.000 0.343 0.686
Pb: 0.500 0.177 0.354
Pb: 0.500 0.500 0.000
Pb: 0.500 0.823 0.646

Values from the calculation:
* E_tot: -3.0751 eV per atom
* total moment: 0.0 Bohr magnetons per cell
* space group: Cmmm


This record from Alexandria via LeMat-Bulk describes an optimized crystal structure of Sm6In2Rh. The functional is PBE-GGA.

a = 5.304 Å, b = 7.334 Å, c = 8.748 Å
α = 114.78°, β = 107.64°, γ = 90.00°
Element x y z (fractional)
Sm: 0.152 0.396 0.306
Sm: 0.848 0.091 0.694
Sm: 0.848 0.604 0.694
Sm: 0.500 0.228 0.000
Sm: 0.152 0.909 0.306
Sm: 0.500 0.772 0.000
In: 0.668 0.669 0.337
In: 0.332 0.331 0.663
Rh: 0.000 0.000 0.000

Values from the calculation:
* energy relative to the lowest polymorph listed for this composition: 190 meV/atom
* total moment: 0.0 Bohr magnetons per cell
* space group: Immm


This record from Alexandria via LeMat-Bulk describes an optimized crystal structure of CrCoHg2. The functional is PBE-GGA.

a = 6.709 Å, b = 4.759 Å, c = 3.107 Å
α = 90.00°, β = 62.41°, γ = 123.62°
Last column: magnetic moment on the atom in μB.
Element x y z (fractional)
Co: 0.000 0.500 0.500  1.56
Cr: 0.500 0.500 0.000  3.42
Hg: 0.000 0.000 0.000  -0.02
Hg: 0.500 0.000 0.500  -0.02

Values from the calculation:
* energy relative to the lowest polymorph listed for this composition: 149 meV/atom
* total moment: 5.2 Bohr magnetons per cell
* space group: Cmmm


This record from Alexandria via LeMat-Bulk describes an optimized crystal structure of CsVAgB2. The functional is PBE-GGA.

a = 4.324 Å, b = 5.454 Å, c = 4.324 Å
α = 90.00°, β = 90.00°, γ = 90.00°
Last column: magnetic moment on the atom in μB.
Element x y z (fractional)
Cs: 0.500 0.500 0.500  0.08
B: 0.000 0.000 0.500  -0.06
B: 0.500 0.000 0.000  -0.01
Ag: 0.000 0.000 0.000  0.03
V: 0.000 0.500 0.000  3.05

Values from the calculation:
* E_tot: -3.4354 eV per atom
* total moment: 3.8 Bohr magnetons per cell
* space group: P4/mmm


This record from Alexandria via LeMat-Bulk describes an optimized crystal structure of TlIrRuO2. The functional is PBE-GGA.

a = 3.764 Å, b = 6.586 Å, c = 3.764 Å
α = 90.00°, β = 90.00°, γ = 90.00°
Last column: magnetic moment on the atom in μB.
Element x y z (fractional)
Ru: 0.000 0.000 0.000  -0.02
Tl: 0.000 0.500 0.000  -0.01
Ir: 0.500 0.500 0.500  0.97
O: 0.000 0.000 0.500  0.01
O: 0.500 0.000 0.000  0.01

Values from the calculation:
* energy relative to the lowest polymorph listed for this composition: 72 meV/atom
* total moment: 1.1 Bohr magnetons per cell
* space group: P4/mmm


This record from Alexandria via LeMat-Bulk describes an optimized crystal structure of Sc2SbTe. The functional is PBE-GGA.

a = 4.672 Å, b = 6.560 Å, c = 9.250 Å
α = 90.01°, β = 90.00°, γ = 89.98°
Element x y z (fractional)
Sc: 0.701 0.606 0.232
Sc: 0.701 0.614 0.725
Sc: 0.201 0.114 0.491
Sc: 0.201 0.106 0.984
Sb: 0.201 0.857 0.738
Sb: 0.701 0.357 0.478
Te: 0.201 0.858 0.237
Te: 0.701 0.358 0.979

Values from the calculation:
* energy relative to the lowest polymorph listed for this composition: 434 meV/atom
* total moment: 0.0 Bohr magnetons per cell
* space group: Pmn2_1


This record from Alexandria via LeMat-Bulk describes an optimized crystal structure of Ca2DySn9. The functional is PBE-GGA.

a = 4.745 Å, b = 4.745 Å, c = 14.217 Å
α = 90.00°, β = 90.00°, γ = 90.00°
Element x y z (fractional)
Ca: 0.000 0.000 0.331
Ca: 0.000 0.000 0.669
Dy: 0.000 0.000 0.000
Sn: 0.500 0.500 0.000
Sn: 0.500 0.500 0.333
Sn: 0.500 0.500 0.667
Sn: 0.500 0.000 0.165
Sn: 0.500 0.000 0.500
Sn: 0.500 0.000 0.835
Sn: 0.000 0.500 0.165
Sn: 0.000 0.500 0.500
Sn: 0.000 0.500 0.835

Values from the calculation:
* E_tot: -4.1234 eV per atom
* total moment: 0.0 Bohr magnetons per cell
* space group: P4/mmm


This record from Alexandria via LeMat-Bulk describes an optimized crystal structure of HfCuAsSe2. The functional is PBE-GGA.

a = 5.128 Å, b = 5.128 Å, c = 5.193 Å
α = 90.00°, β = 90.00°, γ = 90.00°
Element x y z (fractional)
As: 0.000 0.000 0.500
Hf: 0.000 0.000 0.000
Cu: 0.500 0.500 0.500
Se: 0.000 0.500 0.000
Se: 0.500 0.000 0.000

Values from the calculation:
* energy relative to the lowest polymorph listed for this composition: 0 meV/atom
* total moment: 0.0 Bohr magnetons per cell
* space group: P4/mmm


This record from Alexandria via LeMat-Bulk describes an optimized crystal structure of ErTm5Th. The functional is PBE-GGA.

a = 6.065 Å, b = 9.172 Å, c = 8.507 Å
α = 86.21°, β = 78.48°, γ = 70.69°
Element x y z (fractional)
Er: 0.514 0.973 0.750
Er: 0.486 0.027 0.250
Tm: 0.388 0.626 0.854
Tm: 0.459 0.312 0.539
Tm: 0.014 0.374 0.354
Tm: 0.851 0.298 0.750
Tm: 0.229 0.312 0.961
Tm: 0.771 0.688 0.039
Tm: 0.149 0.702 0.250
Tm: 0.986 0.626 0.646
Tm: 0.541 0.688 0.461
Tm: 0.612 0.374 0.146
Th: 0.000 0.000 0.000
Th: 0.000 0.000 0.500

Values from the calculation:
* energy relative to the lowest polymorph listed for this composition: 0 meV/atom
* total moment: 0.0 Bohr magnetons per cell
* space group: C2/c


This record from Alexandria via LeMat-Bulk describes an optimized crystal structure of CsRh2W. The functional is PBE-GGA.

a = 4.769 Å, b = 4.769 Å, c = 4.769 Å
α = 60.00°, β = 60.00°, γ = 60.00°
Element x y z (fractional)
Cs: 0.000 0.000 0.000
Rh: 0.250 0.250 0.250
Rh: 0.750 0.750 0.750
W: 0.500 0.500 0.500

Values from the calculation:
* energy relative to the lowest polymorph listed for this composition: 464 meV/atom
* total moment: 0.0 Bohr magnetons per cell
* space group: Fm-3m


This record from Alexandria via LeMat-Bulk describes an optimized crystal structure of Zr3CdC. The functional is PBE-GGA.

a = 4.586 Å, b = 4.586 Å, c = 4.586 Å
α = 90.00°, β = 90.00°, γ = 90.00°
Element x y z (fractional)
C: 0.000 0.000 0.000
Zr: 0.000 0.500 0.000
Zr: 0.000 0.000 0.500
Zr: 0.500 0.000 0.000
Cd: 0.500 0.500 0.500

Values from the calculation:
* energy relative to the lowest polymorph listed for this composition: 0 meV/atom
* total moment: 0.0 Bohr magnetons per cell
* space group: Pm-3m


This record from Alexandria via LeMat-Bulk describes an optimized crystal structure of TbSO4F. The functional is PBE-GGA.

a = 5.707 Å, b = 5.707 Å, c = 6.463 Å
α = 77.73°, β = 77.73°, γ = 75.75°
Element x y z (fractional)
Tb: 0.209 0.209 0.875
Tb: 0.791 0.791 0.125
S: 0.648 0.648 0.726
S: 0.352 0.352 0.274
O: 0.260 0.260 0.498
O: 0.740 0.740 0.502
O: 0.141 0.477 0.155
O: 0.517 0.517 0.255
O: 0.523 0.859 0.845
O: 0.477 0.141 0.155
O: 0.483 0.483 0.745
O: 0.859 0.523 0.845
F: 0.021 0.021 0.181
F: 0.979 0.979 0.819

Values from the calculation:
* E_tot: -6.8797 eV per atom
* total moment: 0.0 Bohr magnetons per cell
* space group: C2/m